FeP2SF: relaxed, PBE with a Hubbard U.

a b c (Å): 4.028 4.028 5.317
angles (deg): 90.00 90.00 90.00
Positions (direct):
Fe1 0.000 0.000 0.000
P1 0.000 0.500 0.500
P2 0.500 0.000 0.500
S1 0.500 0.500 0.000
F1 0.500 0.500 0.500

Output
The symmetry is P4/mmm (123). The total energy comes out at -3.6696 eV/atom. Its energy above the most stable polymorph in this dataset is 0.205 eV per atom. The spin magnetization is 0.6967 μB per atom.